# TbYPdPb

Crystalline TbYPdPb at its relaxed geometry (PBE, Alexandria via LeMat-Bulk).

```
TbYPdPb
1.0
-3.487 -0.398 3.871
-2.639 -4.456 0.691
1.022 -3.026 4.135
Pb Pd Y Tb
1 1 1 1
direct
0.500 0.500 0.500
0.000 0.000 0.000
0.750 0.750 0.750
0.250 0.250 0.250
```

Computed properties:
- E_form (kcal/mol of atoms) = -14.49
- DOS(E_F) (states/eV per cell) = 2.280
- electronic total energy (eV/atom) = -5.627
- space group = F-43m (216)